1.
# TaCo2Ir

TaCo2Ir after structural relaxation (PBE, Alexandria).

Size of the total moment, μB/cell: 1.91
Distance to the lowest polymorph of the same formula, meV/atom: 80
DOS at the Fermi energy, states/eV/f.u.: 3.528
Space-group type: No. 119

a b c (Å): 4.645 4.645 4.645
angles (deg): 132.29 132.29 69.76
Positions (direct):
1 Ta 0.000 0.000 0.000
2 Co 0.250 0.750 0.500
3 Co 0.500 0.500 0.000
4 Ir 0.750 0.250 0.500



2.
# TaCo2Ir

TaCo2Ir after structural relaxation (PBE, Alexandria).

Size of the total moment, μB/cell: 0.82
Distance to the lowest polymorph of the same formula, meV/atom: 232
DOS at the Fermi energy, states/eV/f.u.: 4.338
Space-group type: No. 65

a b c (Å): 4.465 4.465 2.781
angles (deg): 90.00 90.00 106.63
Positions (direct):
1 Ta 0.000 0.000 0.000
2 Co 0.000 0.500 0.500
3 Co 0.500 0.000 0.500
4 Ir 0.500 0.500 0.000



3.
# TaCoIr2

TaCoIr2 after structural relaxation (PBE, Alexandria).

Size of the total moment, μB/cell: 2.38
DOS at the Fermi energy, states/eV/f.u.: 4.722
Uncorrected energy, Ry/atom: -0.6913
Space-group type: No. 123

a b c (Å): 2.806 2.806 7.395
angles (deg): 90.00 90.00 90.00
Positions (direct):
1 Ta 0.000 0.000 0.000
2 Co 0.000 0.000 0.500
3 Ir 0.500 0.500 0.270
4 Ir 0.500 0.500 0.730



4.
# TaCo2Ir

TaCo2Ir after structural relaxation (PBE, Alexandria).

Size of the total moment, μB/cell: 2.65
Distance to the lowest polymorph of the same formula, meV/atom: 290
DOS at the Fermi energy, states/eV/f.u.: 4.746
Space-group type: No. 12

a b c (Å): 4.602 4.602 4.597
angles (deg): 101.21 101.21 35.42
Positions (direct):
1 Ta 0.000 0.000 0.000
2 Co 0.246 0.246 0.738
3 Co 0.754 0.754 0.262
4 Ir 0.500 0.500 0.500



5.
# TaCoIr2

TaCoIr2 after structural relaxation (PBE, Alexandria).

Size of the total moment, μB/cell: 1.59
DOS at the Fermi energy, states/eV/f.u.: 4.814
Uncorrected energy, Ry/atom: -0.6871
Space-group type: No. 10

a b c (Å): 2.739 4.244 5.213
angles (deg): 90.00 104.68 90.00
Positions (direct):
1 Ta 0.000 0.000 0.000
2 Co 0.000 0.000 0.500
3 Ir 0.371 0.500 0.732
4 Ir 0.629 0.500 0.268



6.
# TaCo2Ir

TaCo2Ir after structural relaxation (PBE, Alexandria).

Size of the total moment, μB/cell: 0.61
Distance to the lowest polymorph of the same formula, meV/atom: 247
DOS at the Fermi energy, states/eV/f.u.: 4.972
Space-group type: No. 6

a b c (Å): 2.698 4.071 5.016
angles (deg): 90.00 105.48 90.00
Positions (direct):
1 Ta 0.000 0.000 0.000
2 Co 0.610 0.500 0.222
3 Co 0.736 0.000 0.479
4 Ir 0.332 0.500 0.670



7.
# Ta4Co4Ir5

Ta4Co4Ir5 after structural relaxation (PBE, Alexandria).

Size of the total moment, μB/cell: 5.02
DOS at the Fermi energy, states/eV/f.u.: 8.182
Uncorrected energy, Ry/atom: -0.7091
Space-group type: No. 87

a b c (Å): 7.257 7.257 7.257
angles (deg): 94.09 94.09 149.04
Positions (direct):
1 Ta 0.130 0.242 0.372
2 Ta 0.242 0.870 0.112
3 Ta 0.758 0.130 0.888
4 Ta 0.870 0.758 0.628
5 Co 0.074 0.599 0.673
6 Co 0.401 0.074 0.476
7 Co 0.599 0.926 0.524
8 Co 0.926 0.401 0.327
9 Ir 0.000 0.000 0.000
10 Ir 0.303 0.447 0.751
11 Ir 0.447 0.697 0.144
12 Ir 0.553 0.303 0.856
13 Ir 0.697 0.553 0.249



8.
# TaCo2Ir

TaCo2Ir after structural relaxation (PBE, Alexandria).

Size of the total moment, μB/cell: 2.35
Distance to the lowest polymorph of the same formula, meV/atom: 562
DOS at the Fermi energy, states/eV/f.u.: 7.313
Space-group type: No. 166

a b c (Å): 8.786 8.786 8.786
angles (deg): 17.80 17.80 17.80
Positions (direct):
1 Ta 0.000 0.000 0.000
2 Co 0.247 0.247 0.247
3 Co 0.753 0.753 0.753
4 Ir 0.500 0.500 0.500



9.
# TaCoIr2

TaCoIr2 after structural relaxation (PBE, Alexandria).

Size of the total moment, μB/cell: 1.90
DOS at the Fermi energy, states/eV/f.u.: 3.817
Uncorrected energy, Ry/atom: -0.7006
Space-group type: No. 47

a b c (Å): 2.846 3.678 5.585
angles (deg): 90.00 90.00 90.00
Positions (direct):
1 Ta 0.000 0.000 0.000
2 Co 0.000 0.000 0.500
3 Ir 0.500 0.500 0.265
4 Ir 0.500 0.500 0.735



10.
# TaCoIr2

TaCoIr2 after structural relaxation (PBE, Alexandria).

Size of the total moment, μB/cell: 1.52
DOS at the Fermi energy, states/eV/f.u.: 3.436
Uncorrected energy, Ry/atom: -0.7065
Space-group type: No. 139

a b c (Å): 4.698 4.698 4.698
angles (deg): 130.87 130.87 72.02
Positions (direct):
1 Ta 0.000 0.000 0.000
2 Co 0.500 0.500 0.000
3 Ir 0.250 0.750 0.500
4 Ir 0.750 0.250 0.500



11.
# TaCo2Ir

TaCo2Ir after structural relaxation (PBE, Alexandria).

Size of the total moment, μB/cell: 2.01
Distance to the lowest polymorph of the same formula, meV/atom: 227
DOS at the Fermi energy, states/eV/f.u.: 4.553
Space-group type: No. 99

a b c (Å): 3.159 3.159 5.486
angles (deg): 90.00 90.00 90.00
Positions (direct):
1 Ta 0.000 0.000 0.000
2 Co 0.000 0.000 0.450
3 Co 0.500 0.500 0.254
4 Ir 0.500 0.500 0.723



12.
# TaCo2Ir

TaCo2Ir after structural relaxation (PBE, Alexandria).

Size of the total moment, μB/cell: 0.93
Distance to the lowest polymorph of the same formula, meV/atom: 100
DOS at the Fermi energy, states/eV/f.u.: 5.191
Space-group type: No. 139

a b c (Å): 4.571 4.571 4.571
angles (deg): 131.12 131.12 71.62
Positions (direct):
1 Ta 0.000 0.000 0.000
2 Co 0.250 0.750 0.500
3 Co 0.750 0.250 0.500
4 Ir 0.500 0.500 0.000



Question: Which value of size of the total moment does entry 4 give?
Answer: 2.65 μB/cell



Question: The highest size of the total moment belongs to which entry?
Answer: Ta4Co4Ir5



Question: Among the records above, which one has the highest size of the total moment?
Answer: Ta4Co4Ir5